No. 1
Entry from Alexandria: a relaxed Nd2CuAg crystal (PBE).

Cell and atoms, written as CIF:
```
data_Nd2CuAg
_cell_length_a 3.670
_cell_length_b 3.670
_cell_length_c 7.374
_cell_angle_alpha 90.00
_cell_angle_beta 90.00
_cell_angle_gamma 90.00
_symmetry_space_group_name_H-M 'P 4/m m m'
_symmetry_Int_Tables_number 123
_symmetry_space_group_name_Hall '-P 4 2'
loop_
_atom_site_label
_atom_site_fract_x
_atom_site_fract_y
_atom_site_fract_z
Nd1 0.000 0.000 0.236
Cu1 0.500 0.500 0.000
Ag1 0.500 0.500 0.500
```

Summary:
Final energy   -17.28 eV per cell

No. 2
Entry from Alexandria: a relaxed Nb2CuPt9 crystal (PBE).

Cell and atoms, written as CIF:
```
data_Nb2CuPt9
_cell_length_a 3.990
_cell_length_b 3.990
_cell_length_c 11.830
_cell_angle_alpha 90.00
_cell_angle_beta 90.00
_cell_angle_gamma 90.00
_symmetry_space_group_name_H-M 'P 4/m m m'
_symmetry_Int_Tables_number 123
_symmetry_space_group_name_Hall '-P 4 2'
loop_
_atom_site_label
_atom_site_fract_x
_atom_site_fract_y
_atom_site_fract_z
Nb1 0.000 0.000 0.177
Cu1 0.000 0.000 0.500
Pt1 0.000 0.500 0.000
Pt2 0.000 0.500 0.334
Pt3 0.500 0.500 0.166
Pt4 0.500 0.500 0.500
```

Summary:
Final energy   -84.76 eV per cell

No. 3
Entry from Alexandria: a relaxed LiFeIr2 crystal (PBE).

Cell and atoms, written as CIF:
```
data_LiFeIr2
_cell_length_a 2.715
_cell_length_b 4.591
_cell_length_c 9.089
_cell_angle_alpha 90.00
_cell_angle_beta 90.00
_cell_angle_gamma 90.00
_symmetry_space_group_name_H-M 'C m m 2'
_symmetry_Int_Tables_number 35
loop_
_symmetry_equiv_pos_as_xyz
'x,y,z'
'-x,-y,z'
'-x,y,z'
'x,-y,z'
'x+1/2,y+1/2,z'
'-x+1/2,-y+1/2,z'
'-x+1/2,y+1/2,z'
'x+1/2,-y+1/2,z'
loop_
_atom_site_label
_atom_site_fract_x
_atom_site_fract_y
_atom_site_fract_z
Li1 0.000 0.000 0.000
Fe1 0.000 0.500 0.745
Ir1 0.000 0.000 0.508
Ir2 0.000 0.500 0.245
```

Summary:
Final energy   -54.64 eV per cell

No. 4
Entry from Alexandria: a relaxed Ca2Pd3PbAu12 crystal (PBE).

Cell and atoms, written as CIF:
```
data_Ca2Pd3PbAu12
_cell_length_a 9.5034
_cell_length_b 9.5034
_cell_length_c 13.9030
_cell_angle_alpha 90.00
_cell_angle_beta 90.00
_cell_angle_gamma 120.00
_symmetry_space_group_name_H-M 'R -3 m'
_symmetry_Int_Tables_number 166
_symmetry_space_group_name_Hall '-R 3 2"'
loop_
_atom_site_label
_atom_site_fract_x
_atom_site_fract_y
_atom_site_fract_z
Ca1 0.0000 0.0000 0.2317
Pd1 0.0000 0.5000 0.0000
Pb1 0.0000 0.0000 0.5000
Au1 0.0065 0.5032 0.7984
Au2 0.0217 0.5108 0.6012
```

Summary:
Final energy   -198.50 eV per cell

No. 5
Entry from Alexandria: a relaxed ZrTiS2 crystal (PBE).

Cell and atoms, written as CIF:
```
data_ZrTiS2
_cell_length_a 3.4416
_cell_length_b 3.4416
_cell_length_c 19.5256
_cell_angle_alpha 90.00
_cell_angle_beta 90.00
_cell_angle_gamma 120.00
_symmetry_space_group_name_H-M 'R 3 m'
_symmetry_Int_Tables_number 160
_symmetry_space_group_name_Hall 'R 3 -2"'
loop_
_atom_site_label
_atom_site_fract_x
_atom_site_fract_y
_atom_site_fract_z
Zr1 0.0000 0.0000 0.0000
Ti1 0.0000 0.0000 0.1660
S1 0.0000 0.0000 0.5783
S2 0.0000 0.0000 0.7548
```

Summary:
Formation energy (no corrections)   -1.38 eV/atom
Final energy   -90.70 eV per cell

No. 6
Entry from Alexandria: a relaxed CePuSe crystal (PBE).

Cell and atoms, written as CIF:
```
data_CePuSe
_cell_length_a 5.896
_cell_length_b 5.895
_cell_length_c 8.521
_cell_angle_alpha 90.00
_cell_angle_beta 90.69
_cell_angle_gamma 90.00
_symmetry_space_group_name_H-M 'C 1 2/m 1'
_symmetry_Int_Tables_number 12
loop_
_symmetry_equiv_pos_as_xyz
'x,y,z'
'-x,-y,-z'
'-x,y,-z'
'x,-y,z'
'x+1/2,y+1/2,z'
'-x+1/2,-y+1/2,-z'
'-x+1/2,y+1/2,-z'
'x+1/2,-y+1/2,z'
loop_
_atom_site_label
_atom_site_fract_x
_atom_site_fract_y
_atom_site_fract_z
Ce1 0.000 0.250 0.000
Pu1 0.245 0.000 0.636
Se1 0.245 0.500 0.720
```

Summary:
Formation energy (no corrections)   -0.85 eV/atom
Final energy   -105.16 eV per cell

No. 7
Entry from Alexandria: a relaxed SrGaCu3Se4 crystal (PBE).

Cell and atoms, written as CIF:
```
data_SrGaCu3Se4
_cell_length_a 6.109
_cell_length_b 6.109
_cell_length_c 6.109
_cell_angle_alpha 90.00
_cell_angle_beta 90.00
_cell_angle_gamma 90.00
_symmetry_space_group_name_H-M 'P -4 3 m'
_symmetry_Int_Tables_number 215
_symmetry_space_group_name_Hall 'P -4 2 3'
loop_
_atom_site_label
_atom_site_fract_x
_atom_site_fract_y
_atom_site_fract_z
Sr1 0.000 0.000 0.000
Ga1 0.500 0.500 0.500
Cu1 0.000 0.500 0.500
Se1 0.274 0.274 0.726
```

Summary:
Formation energy (no corrections)   -0.49 eV/atom
Final energy   -35.35 eV per cell

No. 8
Entry from Alexandria: a relaxed AlFeAs2Br crystal (PBE).

Cell and atoms, written as CIF:
```
data_AlFeAs2Br
_cell_length_a 4.498
_cell_length_b 4.498
_cell_length_c 5.521
_cell_angle_alpha 90.00
_cell_angle_beta 90.00
_cell_angle_gamma 90.00
_symmetry_space_group_name_H-M 'P 4/m m m'
_symmetry_Int_Tables_number 123
_symmetry_space_group_name_Hall '-P 4 2'
loop_
_atom_site_label
_atom_site_fract_x
_atom_site_fract_y
_atom_site_fract_z
Al1 0.000 0.000 0.000
Fe1 0.500 0.500 0.500
As1 0.000 0.500 0.500
Br1 0.500 0.500 0.000
```

Summary:
Formation energy (no corrections)   0.38 eV/atom
Final energy   -21.30 eV per cell

No. 9
Entry from Alexandria: a relaxed ZrTePt2 crystal (PBE).

Cell and atoms, written as CIF:
```
data_ZrTePt2
_cell_length_a 9.361
_cell_length_b 3.700
_cell_length_c 4.679
_cell_angle_alpha 90.00
_cell_angle_beta 105.11
_cell_angle_gamma 90.00
_symmetry_space_group_name_H-M 'C 1 2/m 1'
_symmetry_Int_Tables_number 12
loop_
_symmetry_equiv_pos_as_xyz
'x,y,z'
'-x,-y,-z'
'-x,y,-z'
'x,-y,z'
'x+1/2,y+1/2,z'
'-x+1/2,-y+1/2,-z'
'-x+1/2,y+1/2,-z'
'x+1/2,-y+1/2,z'
loop_
_atom_site_label
_atom_site_fract_x
_atom_site_fract_y
_atom_site_fract_z
Zr1 0.000 0.000 0.000
Te1 0.000 0.500 0.500
Pt1 0.239 0.500 0.224
```

Summary:
Formation energy (no corrections)   -0.54 eV/atom
Final energy   -51.85 eV per cell

No. 10
Entry from Alexandria: a relaxed NbH2Pd crystal (PBE).

Cell and atoms, written as CIF:
```
data_NbH2Pd
_cell_length_a 4.287
_cell_length_b 4.287
_cell_length_c 8.882
_cell_angle_alpha 90.00
_cell_angle_beta 90.00
_cell_angle_gamma 90.00
_symmetry_space_group_name_H-M 'I -4 2 d'
_symmetry_Int_Tables_number 122
_symmetry_space_group_name_Hall 'I -4 2bw'
loop_
_atom_site_label
_atom_site_fract_x
_atom_site_fract_y
_atom_site_fract_z
Nb1 0.000 0.000 0.000
H1 0.240 0.250 0.625
Pd1 0.000 0.000 0.500
```

Summary:
Final energy   -89.09 eV per cell

No. 11
Entry from Alexandria: a relaxed PrSiB crystal (PBE).

Cell and atoms, written as CIF:
```
data_PrSiB
_cell_length_a 3.610
_cell_length_b 4.455
_cell_length_c 6.333
_cell_angle_alpha 90.00
_cell_angle_beta 90.00
_cell_angle_gamma 90.00
_symmetry_space_group_name_H-M 'P m m m'
_symmetry_Int_Tables_number 47
loop_
_symmetry_equiv_pos_as_xyz
'x,y,z'
'-x,-y,-z'
'-x,-y,z'
'x,y,-z'
'x,-y,-z'
'-x,y,z'
'-x,y,-z'
'x,-y,z'
loop_
_atom_site_label
_atom_site_fract_x
_atom_site_fract_y
_atom_site_fract_z
Pr1 0.000 0.000 0.000
Pr2 0.500 0.000 0.500
Si1 0.000 0.500 0.311
B1 0.500 0.500 0.140
```

Summary:
Formation energy (no corrections)   -0.54 eV/atom
Final energy   -37.00 eV per cell

No. 12
Entry from Alexandria: a relaxed Np2AlZnAu6 crystal (PBE).

Cell and atoms, written as CIF:
```
data_Np2AlZnAu6
_cell_length_a 4.459
_cell_length_b 6.563
_cell_length_c 7.523
_cell_angle_alpha 75.07
_cell_angle_beta 72.95
_cell_angle_gamma 70.69
_symmetry_space_group_name_H-M 'P -1'
_symmetry_Int_Tables_number 2
loop_
_symmetry_equiv_pos_as_xyz
'x,y,z'
'-x,-y,-z'
loop_
_atom_site_label
_atom_site_fract_x
_atom_site_fract_y
_atom_site_fract_z
Np1 0.208 0.466 0.117
Al1 0.500 0.500 0.500
Zn1 0.000 0.000 0.000
Au1 0.093 0.260 0.548
Au2 0.247 0.816 0.700
Au3 0.491 0.833 0.186
```

Summary:
Final energy   -52.37 eV per cell

No. 13
Entry from Alexandria: a relaxed TbThTcHg crystal (PBE).

Cell and atoms, written as CIF:
```
data_TbThTcHg
_cell_length_a 7.289
_cell_length_b 7.289
_cell_length_c 7.289
_cell_angle_alpha 90.00
_cell_angle_beta 90.00
_cell_angle_gamma 90.00
_symmetry_space_group_name_H-M 'F -4 3 m'
_symmetry_Int_Tables_number 216
_symmetry_space_group_name_Hall 'F -4 2 3'
loop_
_atom_site_label
_atom_site_fract_x
_atom_site_fract_y
_atom_site_fract_z
Tb1 0.000 0.000 0.000
Th1 0.000 0.000 0.500
Tc1 0.250 0.250 0.250
Hg1 0.250 0.250 0.750
```

Summary:
Final energy   -92.49 eV per cell

No. 14
Entry from Alexandria: a relaxed LiBeNbRh crystal (PBE).

Cell and atoms, written as CIF:
```
data_LiBeNbRh
_cell_length_a 5.990
_cell_length_b 5.990
_cell_length_c 5.990
_cell_angle_alpha 90.00
_cell_angle_beta 90.00
_cell_angle_gamma 90.00
_symmetry_space_group_name_H-M 'F -4 3 m'
_symmetry_Int_Tables_number 216
_symmetry_space_group_name_Hall 'F -4 2 3'
loop_
_atom_site_label
_atom_site_fract_x
_atom_site_fract_y
_atom_site_fract_z
Li1 0.000 0.000 0.000
Be1 0.250 0.250 0.250
Nb1 0.250 0.250 0.750
Rh1 0.000 0.000 0.500
```

Summary:
Final energy   -95.02 eV per cell

No. 15
Entry from Alexandria: a relaxed Th3ScPb2 crystal (PBE).

Cell and atoms, written as CIF:
```
data_Th3ScPb2
_cell_length_a 6.453
_cell_length_b 17.669
_cell_length_c 6.444
_cell_angle_alpha 90.00
_cell_angle_beta 90.00
_cell_angle_gamma 90.00
_symmetry_space_group_name_H-M 'I b a m'
_symmetry_Int_Tables_number 72
_symmetry_space_group_name_Hall '-I 2 2c'
loop_
_atom_site_label
_atom_site_fract_x
_atom_site_fract_y
_atom_site_fract_z
Th1 0.000 0.000 0.250
Th2 0.243 0.178 0.000
Sc1 0.000 0.500 0.250
Pb1 0.234 0.366 0.000
```

Summary:
Final energy   -149.26 eV per cell

No. 16
Entry from Alexandria: a relaxed BaZr3Co crystal (PBE).

Cell and atoms, written as CIF:
```
data_BaZr3Co
_cell_length_a 5.219
_cell_length_b 5.219
_cell_length_c 5.219
_cell_angle_alpha 90.00
_cell_angle_beta 90.00
_cell_angle_gamma 90.00
_symmetry_space_group_name_H-M 'P m -3 m'
_symmetry_Int_Tables_number 221
_symmetry_space_group_name_Hall '-P 4 2 3'
loop_
_atom_site_label
_atom_site_fract_x
_atom_site_fract_y
_atom_site_fract_z
Ba1 0.000 0.000 0.000
Zr1 0.000 0.000 0.500
Co1 0.500 0.500 0.500
```

Summary:
Final energy   -23.24 eV per cell

No. 17
Entry from Alexandria: a relaxed MgAg2Au6 crystal (PBE).

Cell and atoms, written as CIF:
```
data_MgAg2Au6
_cell_length_a 8.730
_cell_length_b 8.730
_cell_length_c 4.226
_cell_angle_alpha 90.00
_cell_angle_beta 90.00
_cell_angle_gamma 90.00
_symmetry_space_group_name_H-M 'P 42/m n m'
_symmetry_Int_Tables_number 136
_symmetry_space_group_name_Hall '-P 4n 2n'
loop_
_atom_site_label
_atom_site_fract_x
_atom_site_fract_y
_atom_site_fract_z
Mg1 0.000 0.000 0.000
Ag1 0.170 0.170 0.500
Au1 0.004 0.330 0.000
Au2 0.160 0.840 0.500
```

Summary:
Final energy   -57.05 eV per cell

No. 18
Entry from Alexandria: a relaxed AgBr crystal (PBE).

Cell and atoms, written as CIF:
```
data_AgBr
_cell_length_a 4.2614
_cell_length_b 4.2614
_cell_length_c 6.3721
_cell_angle_alpha 90.00
_cell_angle_beta 90.00
_cell_angle_gamma 120.00
_symmetry_space_group_name_H-M 'P 63/m m c'
_symmetry_Int_Tables_number 194
_symmetry_space_group_name_Hall '-P 6c 2c'
loop_
_atom_site_label
_atom_site_fract_x
_atom_site_fract_y
_atom_site_fract_z
Ag1 0.0000 0.0000 0.0000
Br1 0.3333 0.6667 0.2500
```

Summary:
Formation energy (no corrections)   -0.30 eV/atom
Final energy   -10.26 eV per cell

No. 19
Entry from Alexandria: a relaxed Pm4Pr3Tm5 crystal (PBE).

Cell and atoms, written as CIF:
```
data_Pm4Pr3Tm5
_cell_length_a 16.074
_cell_length_b 5.989
_cell_length_c 9.393
_cell_angle_alpha 90.00
_cell_angle_beta 116.45
_cell_angle_gamma 90.00
_symmetry_space_group_name_H-M 'C 1 2/m 1'
_symmetry_Int_Tables_number 12
loop_
_symmetry_equiv_pos_as_xyz
'x,y,z'
'-x,-y,-z'
'-x,y,-z'
'x,-y,z'
'x+1/2,y+1/2,z'
'-x+1/2,-y+1/2,-z'
'-x+1/2,y+1/2,-z'
'x+1/2,-y+1/2,z'
loop_
_atom_site_label
_atom_site_fract_x
_atom_site_fract_y
_atom_site_fract_z
Pm1 0.085 0.000 0.447
Pm2 0.209 0.000 0.883
Pr1 0.000 0.500 0.000
Pr2 0.212 0.000 0.238
Tm1 0.000 0.000 0.000
Tm2 0.070 0.500 0.697
Tm3 0.170 0.500 0.383
```

Summary:
Final energy   -106.02 eV per cell